No. 1
Here is crystalline CeScZnAu at its relaxed geometry from Alexandria. Energies are from PBE-GGA.

Cell lengths 5.0139, 5.0139, 5.0139 Å; angles 60.00, 60.00, 60.00 degrees
Last column: magnetic moment on the atom in μB.
Fractional positions:
Au  0.5000  0.5000  0.5000  0.00
Sc  0.2500  0.2500  0.2500  0.06
Zn  0.0000  0.0000  0.0000  0.00
Ce  0.7500  0.7500  0.7500  0.57

Summary:
Energy above the most stable polymorph in this dataset = 1.34 kcal/mol of atoms

***

No. 2
Here is crystalline CeScZn2Au5 at its relaxed geometry from Alexandria. Energies are from PBE-GGA.

Cell lengths 4.4495, 4.4495, 9.2568 Å; angles 90.00, 90.00, 90.00 degrees
Last column: magnetic moment on the atom in μB.
Fractional positions:
Au  0.0000  0.5000  0.2632  0.01
Au  0.5000  0.0000  0.2632  0.01
Au  0.5000  0.0000  0.7368  0.01
Au  0.0000  0.5000  0.7368  0.01
Au  0.5000  0.5000  0.5000  0.01
Sc  0.0000  0.0000  0.0000  0.05
Ce  0.0000  0.0000  0.5000  0.83
Zn  0.5000  0.5000  0.8739  0.00
Zn  0.5000  0.5000  0.1261  0.00

Summary:
Electronic total energy = -3.818 eV/atom

***

No. 3
Here is crystalline CeScZn5Au2 at its relaxed geometry from Alexandria. Energies are from PBE-GGA.

Cell lengths 4.7160, 4.7160, 8.0969 Å; angles 90.00, 90.00, 90.00 degrees
Last column: magnetic moment on the atom in μB.
Fractional positions:
Au  0.5000  0.5000  0.8368  0.01
Au  0.5000  0.5000  0.1632  0.01
Zn  0.0000  0.5000  0.2714  0.01
Zn  0.5000  0.0000  0.7286  0.01
Zn  0.5000  0.5000  0.5000  0.01
Zn  0.0000  0.5000  0.7286  0.01
Zn  0.5000  0.0000  0.2714  0.01
Ce  0.0000  0.0000  0.5000  0.72
Sc  0.0000  0.0000  0.0000  0.03

Summary:
Electronic total energy = -2.913 eV/atom

***

No. 4
Here is crystalline Ce2AuSe4 at its relaxed geometry from Alexandria. Energies are from PBE-GGA.

Cell lengths 6.7551, 7.1172, 7.9928 Å; angles 90.00, 107.16, 90.00 degrees
Last column: magnetic moment on the atom in μB.
Fractional positions:
Se  0.0326  0.7500  0.3947  -0.04
Se  0.4660  0.5206  0.7437  -0.03
Se  0.5340  0.4794  0.2563  -0.03
Se  0.9674  0.2500  0.6053  -0.04
Se  0.5340  0.0206  0.2563  -0.03
Se  0.9754  0.2500  0.1313  -0.04
Se  0.0246  0.7500  0.8687  -0.04
Se  0.4660  0.9794  0.7437  -0.03
Au  0.2600  0.7500  0.1864  -0.03
Au  0.7400  0.2500  0.8136  -0.03
Ce  0.2935  0.2500  0.4511  0.57
Ce  0.2768  0.2500  0.9420  0.60
Ce  0.7232  0.7500  0.0580  0.60
Ce  0.7065  0.7500  0.5489  0.57

Summary:
Formation energy (no corrections) = -1.253 eV/atom

***

No. 5
Here is crystalline CeAuSe3 at its relaxed geometry from Alexandria. Energies are from PBE-GGA.

Cell lengths 4.0260, 7.9677, 14.4836 Å; angles 90.00, 90.00, 90.00 degrees
Last column: magnetic moment on the atom in μB.
Fractional positions:
Se  0.2500  0.9843  0.1302  0.00
Se  0.7500  0.5157  0.6302  0.00
Se  0.2500  0.3634  0.7708  -0.03
Se  0.7500  0.3558  0.0024  -0.01
Se  0.2500  0.4843  0.3698  0.00
Se  0.2500  0.1442  0.5024  -0.01
Se  0.2500  0.8634  0.7292  -0.03
Se  0.7500  0.0157  0.8698  0.00
Se  0.2500  0.6442  0.9976  -0.01
Se  0.7500  0.1366  0.2708  -0.03
Se  0.7500  0.8558  0.4976  -0.01
Se  0.7500  0.6366  0.2292  -0.03
Au  0.7500  0.8305  0.0539  0.01
Au  0.2500  0.6695  0.5539  0.01
Au  0.2500  0.1695  0.9461  0.01
Au  0.7500  0.3305  0.4461  0.01
Ce  0.2500  0.3669  0.1695  0.68
Ce  0.2500  0.8669  0.3305  0.68
Ce  0.7500  0.1331  0.6695  0.68
Ce  0.7500  0.6331  0.8305  0.68

Summary:
Formation energy (no corrections) = -0.881 eV/atom

***

No. 6
Here is crystalline Ce6AuSe5 at its relaxed geometry from Alexandria. Energies are from PBE-GGA.

Cell lengths 7.3160, 7.3160, 7.3101 Å; angles 99.61, 99.61, 119.95 degrees
Last column: magnetic moment on the atom in μB.
Fractional positions:
Au  0.0000  0.0000  0.0000  0.05
Se  0.1660  0.8340  0.5000  -0.02
Se  0.6664  0.3336  0.0000  -0.02
Se  0.3336  0.6664  0.0000  -0.02
Se  0.5000  0.5000  0.5000  -0.02
Se  0.8340  0.1660  0.5000  -0.02
Ce  0.4221  0.0838  0.2523  0.86
Ce  0.7465  0.7465  0.2533  0.87
Ce  0.9162  0.5779  0.7477  0.86
Ce  0.0838  0.4221  0.2523  0.86
Ce  0.5779  0.9162  0.7477  0.86
Ce  0.2535  0.2535  0.7467  0.87

Summary:
Formation energy (no corrections) = -1.585 eV/atom

***

Number 4 is which compound?
Ce2AuSe4